1.
{"formula": "HoSc5Al2", "functional": "PBE", "state": "relaxed", "cell": [[-1.6650, 4.7907, 5.8600], [1.6650, -4.7907, 5.8600], [1.6650, 4.7907, -5.8600]], "species": ["Ho", "Sc", "Sc", "Sc", "Sc", "Sc", "Al", "Al"], "fractional_positions": [[0.0000, 0.0000, 0.0000], [0.1407, 0.3643, 0.7764], [0.4122, 0.6357, 0.7764], [0.5000, 0.0000, 0.5000], [0.5878, 0.3643, 0.2236], [0.8593, 0.6357, 0.2236], [0.2436, 0.7436, 0.5000], [0.7564, 0.2564, 0.5000]], "magmom_total_mub_per_fu": 1.47, "formation_enthalpy_0k_ev_per_atom": -0.1663, "energy_ev_per_atom": -5.631}

=====

2.
{"formula": "CoWBr2", "functional": "PBE", "state": "relaxed", "cell": [[2.9867, 0.0000, 0.0000], [0.0000, 4.3139, 0.0000], [0.0000, 0.0000, 5.6665]], "species": ["Co", "W", "Br", "Br"], "fractional_positions": [[0.0000, 0.0000, 0.0000], [0.5000, 0.0000, 0.5000], [0.0000, 0.5000, 0.5000], [0.5000, 0.5000, 0.0000]], "magmom_total_mub_per_fu": 1.78, "formation_energy_uncorrected_ev_per_atom": 1.220, "energy_ev_per_atom": -4.632}

=====

3.
{"formula": "YCr2Rh", "functional": "PBE", "state": "relaxed", "cell": [[4.5272, -1.5639, 0.0000], [4.5272, 1.5639, 0.0000], [-1.5483, 0.0000, 5.0035]], "species": ["Y", "Cr", "Cr", "Rh"], "fractional_positions": [[0.0000, 0.0000, 0.0000], [0.4971, 0.4971, 0.4919], [0.7853, 0.7853, 0.3588], [0.2354, 0.2354, 0.7194]], "magmom_total_mub_per_fu": 0.29, "formation_enthalpy_0k_ev_per_atom": 0.1657, "energy_ev_per_atom": -8.100}

=====

4.
{"formula": "Ba3NaAu3", "functional": "PBE", "state": "relaxed", "cell": [[13.6544, 0.0000, 0.0000], [0.0000, 4.6248, 0.0000], [0.0000, 0.0000, 16.2458]], "species": ["Ba", "Ba", "Ba", "Ba", "Ba", "Ba", "Ba", "Ba", "Ba", "Ba", "Ba", "Ba", "Na", "Na", "Na", "Na", "Au", "Au", "Au", "Au", "Au", "Au", "Au", "Au", "Au", "Au", "Au", "Au"], "fractional_positions": [[0.0596, 0.2500, 0.1001], [0.1504, 0.7500, 0.5094], [0.2351, 0.7500, 0.7902], [0.2649, 0.2500, 0.2902], [0.3496, 0.2500, 0.0094], [0.4404, 0.7500, 0.6001], [0.5596, 0.2500, 0.3999], [0.6504, 0.7500, 0.9906], [0.7351, 0.7500, 0.7098], [0.7649, 0.2500, 0.2098], [0.8496, 0.2500, 0.4906], [0.9404, 0.7500, 0.8999], [0.0259, 0.2500, 0.7084], [0.4741, 0.7500, 0.2084], [0.5259, 0.2500, 0.7916], [0.9741, 0.7500, 0.2916], [0.0560, 0.2500, 0.3830], [0.1180, 0.2500, 0.9001], [0.2409, 0.7500, 0.1406], [0.2591, 0.2500, 0.6406], [0.3820, 0.7500, 0.4001], [0.4440, 0.7500, 0.8830], [0.5560, 0.2500, 0.1170], [0.6180, 0.2500, 0.5999], [0.7409, 0.7500, 0.3594], [0.7591, 0.2500, 0.8594], [0.8820, 0.7500, 0.0999], [0.9440, 0.7500, 0.6170]], "magmom_total_mub_per_fu": 0.00, "formation_enthalpy_0k_ev_per_atom": -0.5653, "energy_ev_per_atom": -2.982}

=====

5.
{"formula": "Be2PH", "functional": "PBE", "state": "relaxed", "cell": [[3.3416, -1.7467, 0.0000], [3.3416, 1.7467, 0.0000], [-2.3594, 0.0000, 7.4565]], "species": ["Be", "Be", "Be", "Be", "P", "P", "H", "H"], "fractional_positions": [[0.0486, 0.0486, 0.1328], [0.3144, 0.3144, 0.4022], [0.6856, 0.6856, 0.5978], [0.9514, 0.9514, 0.8672], [0.4079, 0.4079, 0.6960], [0.5921, 0.5921, 0.3040], [0.1581, 0.1581, 0.9988], [0.8419, 0.8419, 0.0012]], "magmom_total_mub_per_fu": 0.00, "energy_ev_per_atom": -4.235}

=====

6.
{"formula": "Pa5Ga2Tc4", "functional": "PBE", "state": "relaxed", "cell": [[10.0277, -1.7030, 0.0000], [10.0277, 1.7030, 0.0000], [-0.3872, 0.0000, 6.7780]], "species": ["Pa", "Pa", "Pa", "Pa", "Pa", "Ga", "Ga", "Tc", "Tc", "Tc", "Tc"], "fractional_positions": [[0.0000, 0.0000, 0.0000], [0.2715, 0.2715, 0.3045], [0.3466, 0.3466, 0.8912], [0.6534, 0.6534, 0.1088], [0.7285, 0.7285, 0.6955], [0.1204, 0.1204, 0.4644], [0.8796, 0.8796, 0.5356], [0.3930, 0.3930, 0.2456], [0.4661, 0.4661, 0.7108], [0.5339, 0.5339, 0.2892], [0.6070, 0.6070, 0.7544]], "magmom_total_mub_per_fu": 0.00, "formation_enthalpy_0k_ev_per_atom": 0.0857, "energy_ev_per_atom": -8.550}

=====

7.
{"formula": "In2HgBi2", "functional": "PBE", "state": "relaxed", "cell": [[9.3747, 0.0000, 0.0000], [0.0000, 9.3747, 0.0000], [0.0000, 0.0000, 3.5367]], "species": ["In", "In", "In", "In", "Hg", "Hg", "Bi", "Bi", "Bi", "Bi"], "fractional_positions": [[0.1473, 0.3527, 0.0000], [0.3527, 0.8527, 0.0000], [0.6473, 0.1473, 0.0000], [0.8527, 0.6473, 0.0000], [0.0000, 0.0000, 0.0000], [0.5000, 0.5000, 0.0000], [0.1495, 0.6495, 0.5000], [0.3505, 0.1495, 0.5000], [0.6495, 0.8505, 0.5000], [0.8505, 0.3505, 0.5000]], "magmom_total_mub_per_fu": 0.00, "formation_enthalpy_0k_ev_per_atom": 0.0663, "energy_ev_per_atom": -2.642}

=====

8.
{"formula": "TlInI2Cl", "functional": "PBE", "state": "relaxed", "cell": [[6.1163, 0.0000, 0.0000], [0.0000, 6.1163, 0.0000], [0.0000, 0.0000, 5.3445]], "species": ["Tl", "In", "I", "I", "Cl"], "fractional_positions": [[0.0000, 0.0000, 0.0000], [0.5000, 0.5000, 0.5000], [0.0000, 0.5000, 0.5000], [0.5000, 0.0000, 0.5000], [0.5000, 0.5000, 0.0000]], "magmom_total_mub_per_fu": 0.00, "formation_energy_uncorrected_ev_per_atom": -0.627, "energy_ev_per_atom": -2.637}